[1]
Below is a relaxed structure of HfCBr2, with properties calculated at the PBE level.

**Space group**: No. 225
**E_form (uncorrected)**: 1.0724 eV per atom
**Fermi-level density of states**: 3.09 states/eV per cell
**Magnetic moment**: 0.00 μB/f.u.
**Relative energy among the computed polymorphs**: 896 meV/atom
**Final energy**: -4.56 eV/atom

```
HfCBr2
1.0
0.000 3.279 3.279
3.279 0.000 3.279
3.279 3.279 0.000
Hf C Br
1 1 2
Direct
0.000 0.000 0.000 Hf
0.500 0.500 0.500 C
0.250 0.250 0.250 Br
0.750 0.750 0.750 Br
```


[2]
Below is a relaxed structure of DyYPd, with properties calculated at the PBE level.

**Space group**: No. 109
**Fermi-level density of states**: 7.47 states/eV per cell
**Magnetic moment**: 0.21 μB/f.u.
**E_form**: -43 kJ per mole of atoms
**Relative energy among the computed polymorphs**: 115 meV/atom
**Final energy**: -5.86 eV/atom

```
DyYPd
1.0
-1.970 1.970 10.670
1.970 -1.970 10.670
1.970 1.970 -10.670
Dy Y Pd
2 2 2
Direct
0.000 0.000 0.000 Dy
0.750 0.250 0.500 Dy
0.141 0.641 0.500 Y
0.391 0.391 0.000 Y
0.602 0.102 0.500 Pd
0.852 0.852 0.000 Pd
```


[3]
Below is a relaxed structure of TlRhPb, with properties calculated at the PBE level.

**Space group**: No. 156
**Fermi-level density of states**: 1.04 states/eV per cell
**Magnetic moment**: 0.00 μB/f.u.
**E_form**: 9 kJ per mole of atoms
**Relative energy among the computed polymorphs**: 77 meV/atom
**Final energy**: -4.38 eV/atom

```
TlRhPb
1.0
3.467 0.000 0.000
-1.733 3.002 0.000
0.000 0.000 6.793
Tl Rh Pb
1 1 1
Direct
0.000 0.000 0.000 Tl
0.667 0.333 0.706 Rh
0.333 0.667 0.422 Pb
```


[4]
Below is a relaxed structure of NdUS4, with properties calculated at the PBE level.

**Space group**: No. 12
**E_form (uncorrected)**: -1.5302 eV per atom
**Fermi-level density of states**: 6.24 states/eV per cell
**Magnetic moment**: 1.04 μB/f.u.
**Relative energy among the computed polymorphs**: 0 meV/atom
**Final energy**: -6.96 eV/atom

```
NdUS4
1.0
3.257 -3.257 0.000
3.257 3.257 0.000
-0.018 0.000 6.625
Nd U S
1 1 4
Direct
0.000 0.000 0.000 Nd
0.500 0.500 0.500 U
0.000 0.499 0.734 S
0.000 0.501 0.266 S
0.499 0.000 0.734 S
0.501 0.000 0.266 S
```


[5]
Below is a relaxed structure of LiSm2ScSe4, with properties calculated at the PBE level.

**Space group**: No. 10
**E_form (uncorrected)**: -1.7051 eV per atom
**Fermi-level density of states**: 3.10 states/eV per cell
**Magnetic moment**: 0.00 μB/f.u.
**Final energy**: -5.66 eV/atom

```
LiSm2ScSe4
1.0
6.945 0.000 0.000
0.000 4.039 0.000
-2.332 0.000 6.624
Li Sm Sc Se
1 2 1 4
Direct
0.000 0.000 0.000 Li
0.500 0.000 0.500 Sm
0.500 0.500 0.000 Sm
0.000 0.500 0.500 Sc
0.227 0.000 0.744 Se
0.229 0.500 0.244 Se
0.771 0.500 0.756 Se
0.773 0.000 0.256 Se
```


[6]
Below is a relaxed structure of Ce3FeB2N6, with properties calculated at the PBE level.

**Space group**: No. 164
**E_form (uncorrected)**: -0.9364 eV per atom
**Fermi-level density of states**: 11.40 states/eV per cell
**Magnetic moment**: 2.20 μB/f.u.
**Final energy**: -8.40 eV/atom

```
Ce3FeB2N6
1.0
5.272 0.000 0.000
-2.636 4.566 0.000
0.000 0.000 6.091
Ce Fe B N
3 1 2 6
Direct
0.000 0.000 0.000 Ce
0.333 0.667 0.666 Ce
0.667 0.333 0.334 Ce
0.000 0.000 0.500 Fe
0.333 0.667 0.256 B
0.667 0.333 0.744 B
0.174 0.349 0.285 N
0.174 0.826 0.285 N
0.349 0.174 0.715 N
0.651 0.826 0.285 N
0.826 0.174 0.715 N
0.826 0.651 0.715 N
```


> Look up the magnetic moment of the sixth one.

2.20 μB/f.u.